First-principles (GGA-PBE) data for a relaxed LaPm2Dy4Ho crystal, as listed in Alexandria.

## Properties
Crystal system: monoclinic
DFT formation energy, meV/atom: 17
Total energy, eV/atom: -4.660
Magnetic moment, μB/f.u.: 0.000

abc: 7.2023 12.4033 12.4009
angles: 131.46 125.49 90.04
Element x y z (fractional)
1 Dy 0.2516 0.2519 0.0001
2 Pm 0.5001 0.5000 0.0001
3 Pm 0.5000 0.0000 0.5000
4 Ho 0.0000 0.5001 0.4999
5 Pm 0.9999 0.9998 0.4998
6 La 0.4996 0.4997 0.4995
7 Dy 0.7482 0.7480 0.9997
8 Dy 0.7552 0.2519 0.5038
9 Ho 0.0002 0.5002 0.0003
10 Dy 0.7483 0.2517 0.9998
11 Dy 0.2523 0.2519 0.5038
12 Pm 0.5002 0.0002 0.0002
13 Dy 0.2450 0.7481 0.4965
14 Dy 0.2514 0.7481 0.9999
15 Dy 0.7480 0.7484 0.4965
16 La 0.0000 0.9999 0.0000